(1)
# Zn2GaSi2, relaxed, DFT PBE-GGA
# Crystal system ... tetragonal
# Energy relative to the elements, uncorrected ... 0.2811 eV/atom
# E above lowest polymorph ... 0.079 eV per atom
data_Zn2GaSi2
_chemical_formula_sum 'Zn4 Ga2 Si4'
_symmetry_space_group_name_H-M 'P 4/m b m'
_symmetry_Int_Tables_number 127
_symmetry_space_group_name_Hall '-P 4 2ab'
_cell_length_a 7.900
_cell_length_b 7.900
_cell_length_c 2.678
_cell_angle_alpha 90.00
_cell_angle_beta 90.00
_cell_angle_gamma 90.00
loop_
_atom_site_label
_atom_site_type_symbol
_atom_site_fract_x
_atom_site_fract_y
_atom_site_fract_z
Zn1 Zn 0.152 0.348 0.000
Ga1 Ga 0.000 0.000 0.000
Si1 Si 0.144 0.644 0.500

(2)
# Zn2GaSi, relaxed, DFT PBE-GGA
# Crystal system ... tetragonal
# Energy relative to the elements, uncorrected ... 0.1918 eV/atom
# E above lowest polymorph ... 0.000 eV per atom
data_Zn2GaSi
_chemical_formula_sum 'Zn8 Ga4 Si4'
_symmetry_space_group_name_H-M 'I -4 2 d'
_symmetry_Int_Tables_number 122
_symmetry_space_group_name_Hall 'I -4 2bw'
_cell_length_a 4.144
_cell_length_b 4.144
_cell_length_c 16.280
_cell_angle_alpha 90.00
_cell_angle_beta 90.00
_cell_angle_gamma 90.00
loop_
_atom_site_label
_atom_site_type_symbol
_atom_site_fract_x
_atom_site_fract_y
_atom_site_fract_z
Zn1 Zn 0.246 0.250 0.125
Ga1 Ga 0.000 0.000 0.500
Si1 Si 0.000 0.000 0.000

(3)
# Zn2GaSi2, relaxed, DFT PBE-GGA
# Crystal system ... tetragonal
# Energy relative to the elements, uncorrected ... 0.2018 eV/atom
# E above lowest polymorph ... 0.000 eV per atom
data_Zn2GaSi2
_chemical_formula_sum 'Zn4 Ga2 Si4'
_symmetry_space_group_name_H-M 'I 4/m m m'
_symmetry_Int_Tables_number 139
_symmetry_space_group_name_Hall '-I 4 2'
_cell_length_a 4.148
_cell_length_b 4.148
_cell_length_c 10.403
_cell_angle_alpha 90.00
_cell_angle_beta 90.00
_cell_angle_gamma 90.00
loop_
_atom_site_label
_atom_site_type_symbol
_atom_site_fract_x
_atom_site_fract_y
_atom_site_fract_z
Zn1 Zn 0.000 0.500 0.250
Ga1 Ga 0.000 0.000 0.000
Si1 Si 0.000 0.000 0.389

(4)
# ZnGa2Si, relaxed, DFT PBE-GGA
# Crystal system ... trigonal
# Energy relative to the elements, uncorrected ... 0.2102 eV/atom
# E above lowest polymorph ... 0.054 eV per atom
data_ZnGa2Si
_chemical_formula_sum 'Zn3 Ga6 Si3'
_symmetry_space_group_name_H-M 'R -3 m'
_symmetry_Int_Tables_number 166
_symmetry_space_group_name_Hall '-R 3 2"'
_cell_length_a 2.8006
_cell_length_b 2.8006
_cell_length_c 30.9461
_cell_angle_alpha 90.00
_cell_angle_beta 90.00
_cell_angle_gamma 120.00
loop_
_atom_site_label
_atom_site_type_symbol
_atom_site_fract_x
_atom_site_fract_y
_atom_site_fract_z
Zn1 Zn 0.0000 0.0000 0.0000
Ga1 Ga 0.0000 0.0000 0.0891
Si1 Si 0.0000 0.0000 0.5000

(5)
# ZnGa2Si, relaxed, DFT PBE-GGA
# Crystal system ... tetragonal
# Energy relative to the elements, uncorrected ... 0.2027 eV/atom
# E above lowest polymorph ... 0.047 eV per atom
data_ZnGa2Si
_chemical_formula_sum 'Zn1 Ga2 Si1'
_symmetry_space_group_name_H-M 'P 4/m m m'
_symmetry_Int_Tables_number 123
_symmetry_space_group_name_Hall '-P 4 2'
_cell_length_a 4.057
_cell_length_b 4.057
_cell_length_c 4.099
_cell_angle_alpha 90.00
_cell_angle_beta 90.00
_cell_angle_gamma 90.00
loop_
_atom_site_label
_atom_site_type_symbol
_atom_site_fract_x
_atom_site_fract_y
_atom_site_fract_z
Zn1 Zn 0.000 0.000 0.000
Ga1 Ga 0.000 0.500 0.500
Si1 Si 0.500 0.500 0.000

(6)
# ZrGa3Si, relaxed, DFT PBE-GGA
# Crystal system ... cubic
# Energy relative to the elements, uncorrected ... 0.8843 eV/atom
# E above lowest polymorph ... 0.397 eV per atom
data_ZrGa3Si
_chemical_formula_sum 'Zr1 Ga3 Si1'
_symmetry_space_group_name_H-M 'P m -3 m'
_symmetry_Int_Tables_number 221
_symmetry_space_group_name_Hall '-P 4 2 3'
_cell_length_a 5.194
_cell_length_b 5.194
_cell_length_c 5.194
_cell_angle_alpha 90.00
_cell_angle_beta 90.00
_cell_angle_gamma 90.00
loop_
_atom_site_label
_atom_site_type_symbol
_atom_site_fract_x
_atom_site_fract_y
_atom_site_fract_z
Zr1 Zr 0.000 0.000 0.000
Ga1 Ga 0.000 0.000 0.500
Si1 Si 0.500 0.500 0.500

(7)
# ZrGa3Si, relaxed, DFT PBE-GGA
# Crystal system ... cubic
# Energy relative to the elements, uncorrected ... 0.4875 eV/atom
# E above lowest polymorph ... 0.000 eV per atom
data_ZrGa3Si
_chemical_formula_sum 'Zr1 Ga3 Si1'
_symmetry_space_group_name_H-M 'P m -3 m'
_symmetry_Int_Tables_number 221
_symmetry_space_group_name_Hall '-P 4 2 3'
_cell_length_a 4.718
_cell_length_b 4.718
_cell_length_c 4.718
_cell_angle_alpha 90.00
_cell_angle_beta 90.00
_cell_angle_gamma 90.00
loop_
_atom_site_label
_atom_site_type_symbol
_atom_site_fract_x
_atom_site_fract_y
_atom_site_fract_z
Zr1 Zr 0.000 0.000 0.000
Ga1 Ga 0.000 0.500 0.500
Si1 Si 0.500 0.500 0.500

(8)
# Zr2Ga2Si, relaxed, DFT PBE-GGA
# Crystal system ... tetragonal
# Energy relative to the elements, uncorrected ... -0.4126 eV/atom
# E above lowest polymorph ... 0.000 eV per atom
data_Zr2Ga2Si
_chemical_formula_sum 'Zr4 Ga4 Si2'
_symmetry_space_group_name_H-M 'P 4/m b m'
_symmetry_Int_Tables_number 127
_symmetry_space_group_name_Hall '-P 4 2ab'
_cell_length_a 6.652
_cell_length_b 6.652
_cell_length_c 4.099
_cell_angle_alpha 90.00
_cell_angle_beta 90.00
_cell_angle_gamma 90.00
loop_
_atom_site_label
_atom_site_type_symbol
_atom_site_fract_x
_atom_site_fract_y
_atom_site_fract_z
Zr1 Zr 0.177 0.323 0.000
Ga1 Ga 0.130 0.630 0.500
Si1 Si 0.000 0.000 0.500

Question: What is the E above lowest polymorph in the first record?
Answer: 0.079 eV per atom